[1]
Material: KTe2Se
Method: DFT, GGA-PBE
State: relaxed

Geometry as POSCAR:
```
KTe2Se
1.0
6.4057 0.0000 0.0000
0.0000 3.1026 -0.0020
0.0000 -0.0140 6.1146
Te Se K
2 1 1
Cartesian
0.0000 2.3247 3.0126 Te
0.0000 2.3222 0.0416 Te
3.2028 2.3164 4.5844 Se
3.2028 0.7721 1.5281 K
```

Calculated values
- total moment (μB per formula unit) = 0.00
- mass density (g cm⁻³) = 5.1
- ΔE_f (raw) (meV per atom) = -245
- symmetry = P2/m (10)

***

[2]
Material: BeFeRe4
Method: DFT, GGA-PBE
State: relaxed

Geometry as POSCAR:
```
BeFeRe4
1.0
0.0000 3.6187 3.6187
3.6187 0.0000 3.6187
3.6187 3.6187 0.0000
Re Fe Be
4 1 1
Cartesian
4.5231 4.5231 2.7144 Re
2.7144 4.5231 4.5231 Re
4.5231 2.7144 4.5231 Re
2.7144 2.7144 2.7144 Re
0.0000 0.0000 0.0000 Fe
5.4281 5.4281 5.4281 Be
```

Calculated values
- total moment (μB per formula unit) = 3.17
- ΔE_f (eV/atom) = 0.71
- mass density (g cm⁻³) = 14.2
- symmetry = F-43m (216)

***

[3]
Material: Ir2N2Cl7
Method: DFT, GGA-PBE
State: relaxed

Geometry as POSCAR:
```
Ir2N2Cl7
1.0
8.0672 -0.1183 -0.1061
-0.1791 5.8959 2.8586
-0.2210 -0.2762 6.5453
Cl N Ir
7 2 2
Cartesian
0.9554 2.3747 3.9866 Cl
0.0000 0.0000 0.0000 Cl
6.7117 3.1268 5.3112 Cl
1.1738 5.3947 5.8255 Cl
6.4933 0.1068 3.4723 Cl
6.5126 2.9414 1.7792 Cl
1.1546 2.5601 7.5186 Cl
3.8513 5.3586 3.0912 N
3.8159 0.1429 6.2066 N
7.6518 4.1712 7.0705 Ir
0.0153 1.3303 2.2273 Ir
```

Calculated values
- total moment (μB per formula unit) = 0.00
- mass density (g cm⁻³) = 3.5
- ΔE_f (raw) (meV per atom) = -187
- symmetry = C2/m (12)

***

[4]
Material: Y5CdPd2
Method: DFT, GGA-PBE
State: relaxed

Geometry as POSCAR:
```
Y5CdPd2
1.0
7.1418 0.0000 -3.3713
-1.5914 6.9622 -3.3713
-0.2458 -0.3084 8.7295
Y Cd Pd
10 2 4
Cartesian
6.1763 3.2682 -2.4780 Y
2.7752 3.4811 -3.3713 Y
0.0000 0.0000 0.0000 Y
2.4089 4.6551 2.1646 Y
-0.8718 3.3857 4.4649 Y
0.7977 5.4799 -1.2487 Y
4.5068 1.1740 3.2355 Y
1.2261 -0.0954 5.5359 Y
2.8956 1.9987 -0.1777 Y
4.0784 6.7493 -3.5490 Y
1.2647 1.5864 2.6791 Cd
4.0398 5.0675 -0.6922 Cd
5.1774 4.4128 -5.0570 Pd
4.3137 0.9317 -2.5880 Pd
1.2367 6.0305 -4.1546 Pd
0.3730 2.5494 -1.6857 Pd
```

Calculated values
- total moment (μB per formula unit) = 0.00
- ΔE_f (eV/atom) = -0.54
- mass density (g cm⁻³) = 6.1
- symmetry = I4/mcm (140)

***

[5]
Material: Ti5Co4Cu
Method: DFT, GGA-PBE
State: relaxed

Geometry as POSCAR:
```
Ti5Co4Cu
1.0
-1.2677 2.4251 -1.2041
-2.6648 -1.3529 0.0808
-2.4025 5.5512 13.7096
Co Ti Cu
4 5 1
Cartesian
-0.4986 1.1520 2.8451 Co
-1.9039 4.3992 10.8645 Co
-0.9688 2.2386 5.5285 Co
-1.4337 3.3126 8.1811 Co
-3.1675 3.3117 6.2932 Ti
-2.2266 1.1376 0.9239 Ti
-3.6377 4.3979 8.9758 Ti
-2.6974 2.2255 3.6105 Ti
-4.1085 5.4858 11.6624 Ti
0.0000 0.0000 0.0000 Cu
```

Calculated values
- total moment (μB per formula unit) = 0.00
- ΔE_f (eV/atom) = -0.32
- mass density (g cm⁻³) = 6.7
- symmetry = P4/mmm (123)

***

[6]
Material: Ho3ZrPt12
Method: DFT, GGA-PBE
State: relaxed

Geometry as POSCAR:
```
Ho3ZrPt12
1.0
4.0944 0.0000 0.0000
0.0000 4.0944 0.0000
0.0000 0.0000 16.3869
Pt Ho Zr
12 3 1
Cartesian
2.0472 0.0000 6.1308 Pt
2.0472 0.0000 10.2562 Pt
2.0472 0.0000 1.9755 Pt
2.0472 2.0472 12.3339 Pt
2.0472 2.0472 4.0530 Pt
0.0000 2.0472 1.9755 Pt
0.0000 2.0472 10.2562 Pt
2.0472 0.0000 14.4114 Pt
0.0000 2.0472 14.4114 Pt
0.0000 2.0472 6.1308 Pt
2.0472 2.0472 0.0000 Pt
2.0472 2.0472 8.1935 Pt
0.0000 0.0000 8.1935 Ho
0.0000 0.0000 4.0933 Ho
0.0000 0.0000 12.2937 Ho
0.0000 0.0000 0.0000 Zr
```

Calculated values
- total moment (μB per formula unit) = 0.00
- ΔE_f (eV/atom) = -1.06
- mass density (g cm⁻³) = 17.7
- symmetry = P4/mmm (123)

***

[7]
Material: NbRh4
Method: DFT, GGA-PBE
State: relaxed

Geometry as POSCAR:
```
NbRh4
1.0
3.9184 0.0000 -1.1445
-0.6098 5.0149 -2.0877
0.0729 0.1644 7.5298
Rh Nb
8 2
Cartesian
2.3300 3.5133 0.6973 Rh
1.0516 1.6660 3.6004 Rh
2.6268 1.0721 1.7135 Rh
3.1837 3.3837 3.6201 Rh
1.9592 0.0000 -0.5722 Rh
0.7548 4.1072 2.5841 Rh
1.6543 2.5075 -1.6161 Rh
0.1979 1.7957 0.6775 Rh
-0.0875 4.3333 -0.2994 Nb
3.4691 0.8460 4.5971 Nb
```

Calculated values
- total moment (μB per formula unit) = 0.00
- ΔE_f (eV/atom) = -0.31
- offset from the most stable computed form (eV/f.u.) = 0.00
- mass density (g cm⁻³) = 11.2
- symmetry = Imma (74)

***

[8]
Material: Pr8Ho6Er
Method: DFT, GGA-PBE
State: relaxed

Geometry as POSCAR:
```
Pr8Ho6Er
1.0
9.9107 0.0000 0.0000
4.9553 8.5829 0.0000
4.9553 2.8610 5.9864
Pr Ho Er
8 6 1
Cartesian
9.9107 5.7219 1.4143 Pr
9.9107 5.7219 4.5721 Pr
12.7852 8.1177 3.0812 Pr
6.3986 7.0135 3.0812 Pr
10.5482 2.0346 3.0812 Pr
13.4227 4.4304 2.9052 Pr
9.2732 9.4092 2.9052 Pr
7.0361 3.3262 2.9052 Pr
13.8077 6.0957 5.8100 Ho
6.5802 0.7008 0.1764 Ho
17.5492 8.9100 5.8100 Ho
13.2412 10.7430 5.8100 Ho
6.0137 5.3482 0.1764 Ho
2.2722 2.5339 0.1764 Ho
0.0000 0.0000 0.0000 Er
```

Calculated values
- total moment (μB per formula unit) = 0.00
- ΔE_f (eV/atom) = 0.17
- offset from the most stable computed form (eV/f.u.) = 0.00
- mass density (g cm⁻³) = 7.4
- symmetry = R-3 (148)

***

[9]
Material: Mg2NiHg
Method: DFT, GGA-PBE
State: relaxed

Geometry as POSCAR:
```
Mg2NiHg
1.0
-0.0029 -1.3104 -4.2614
1.2384 -4.0943 1.2581
-2.1325 -5.0361 1.5500
Ni Hg Mg
1 1 2
Cartesian
-0.4485 -5.2204 -0.7266 Ni
-1.0662 -2.5181 0.7750 Hg
0.6177 -2.7023 -1.5016 Mg
0.0000 0.0000 0.0000 Mg
```

Calculated values
- total moment (μB per formula unit) = 0.00
- ΔE_f (eV/atom) = -0.12
- offset from the most stable computed form (eV/f.u.) = 0.24
- mass density (g cm⁻³) = 7.3
- symmetry = P2/m (10)

***

[10]
Material: Dy3Y2HoEr6
Method: DFT, GGA-PBE
State: relaxed

Geometry as POSCAR:
```
Dy3Y2HoEr6
1.0
6.1074 0.0025 0.0006
-3.0500 5.2913 0.0006
-1.0155 -1.7583 11.5122
Dy Y Er Ho
3 2 6 1
Cartesian
1.0209 1.7678 5.7567 Dy
4.0731 0.0050 5.7567 Dy
-2.0312 3.5305 5.7567 Dy
3.0549 1.7655 0.0006 Y
0.0025 3.5283 0.0006 Y
-1.0126 1.7632 2.8858 Er
0.0086 3.5315 8.6276 Er
2.0423 3.5363 2.8865 Er
3.0545 1.7723 8.6276 Er
-0.0004 -0.0007 8.6269 Er
2.0333 0.0041 2.8858 Er
0.0000 0.0000 0.0000 Ho
```

Calculated values
- total moment (μB per formula unit) = 0.00
- ΔE_f (eV/atom) = 0.02
- mass density (g cm⁻³) = 8.2
- symmetry = C2/m (12)

***

[11]
Material: Nd2GdSc
Method: DFT, GGA-PBE
State: relaxed

Geometry as POSCAR:
```
Nd2GdSc
1.0
-0.7020 1.5406 4.6464
4.2901 -2.2616 1.3981
2.5605 4.2294 -1.0154
Nd Gd Sc
2 1 1
Cartesian
2.1451 -1.1308 0.6990 Nd
1.2802 2.1147 -0.5077 Nd
3.0743 1.7542 2.5145 Gd
-0.3510 0.7703 2.3232 Sc
```

Calculated values
- total moment (μB per formula unit) = 7.23
- ΔE_f (eV/atom) = 0.04
- offset from the most stable computed form (eV/f.u.) = 0.00
- mass density (g cm⁻³) = 6.5
- symmetry = P4/mmm (123)